Ba2CaTl6Pd: optimized geometry, GGA-PBE.

Structure (CIF):
```
data_Ba2CaTl6Pd
_symmetry_space_group_name_H-M 'P 1'
_symmetry_Int_Tables_number 1
_symmetry_space_group_name_Hall 'P 1'
_cell_length_a 7.9919
_cell_length_b 7.9919
_cell_length_c 7.9919
_cell_angle_alpha 60.00
_cell_angle_beta 60.00
_cell_angle_gamma 90.00
loop_
_atom_site_label
_atom_site_type_symbol
_atom_site_fract_x
_atom_site_fract_y
_atom_site_fract_z
Pd1 Pd 0.0000 0.0000 0.0000
Tl1 Tl 0.2386 0.2386 0.5228
Tl2 Tl 0.7614 0.2386 0.0000
Tl3 Tl 0.2386 0.7614 0.0000
Tl4 Tl 0.7614 0.7614 0.4772
Tl5 Tl 0.2386 0.2386 0.0000
Tl6 Tl 0.7614 0.7614 0.0000
Ca1 Ca 0.5000 0.5000 0.0000
Ba1 Ba 0.2500 0.7500 0.5000
Ba2 Ba 0.7500 0.2500 0.5000
```

## Properties
For the formation enthalpy at 0 K, the calculation gives -18.7 kJ per mole of atoms. As for the total magnetic moment: 0.0 μB/f.u. The value obtained for the total DFT energy (no corrections) is -2.717 eV/atom.